Computed, not measured: crystalline SrMgUO5 at its relaxed geometry at the PBE level of DFT.

Values from the calculation:
size of the total moment: 0.00 μB per formula unit
E: -7.968 eV/atom
formation energy (no corrections): -3.0484 eV per atom
V: 16.07 Å³/atom

Cell lengths 7.2659, 9.7378, 8.0824 Å; angles 90.00, 115.95, 90.00 degrees
Space group C2/c (No. 15)
Unique sites:
Sr1 0.0000 0.1715 0.2500 x4
Mg1 0.0000 0.1877 0.7500 x4
U1 0.0000 0.5000 0.0000 x4
O1 0.0000 0.4260 0.2500 x4
O2 0.0960 0.3006 0.5994 x8
O3 0.1998 0.0493 0.9054 x8